(1)
{
  "formula": "LaYThTc",
  "functional": "PBE",
  "state": "optimized geometry",
  "cell": [[4.617, -0.014, -0.004], [-2.294, 4.007, 0.004], [-2.307, -1.330, 6.620]],
  "species": ["La", "Y", "Th", "Tc"],
  "frac_coords": [[0.946, 0.838, 0.784], [0.371, 0.050, 0.421], [0.831, 0.280, 0.112], [0.544, 0.636, 0.180]],
  "formation_energy_ev_per_fu": 0.45
}



(2)
{
  "formula": "La5Pr4Y4",
  "functional": "PBE",
  "state": "optimized geometry",
  "cell": [[-2.280, 4.270, 1.963], [-7.076, -3.266, 5.838], [4.860, 2.024, 8.192]],
  "species": ["La", "La", "La", "La", "La", "Pr", "Pr", "Pr", "Pr", "Y", "Y", "Y", "Y"],
  "frac_coords": [[0.694, 0.844, 0.769], [0.306, 0.156, 0.231], [0.000, 0.000, 0.000], [0.538, 0.769, 0.156], [0.462, 0.231, 0.844], [0.768, 0.387, 0.078], [0.232, 0.613, 0.922], [0.845, 0.922, 0.387], [0.155, 0.078, 0.613], [0.925, 0.463, 0.688], [0.613, 0.312, 0.463], [0.075, 0.537, 0.312], [0.387, 0.688, 0.537]],
  "formation_energy_ev_per_fu": 0.25
}



(3)
{
  "formula": "ErBe17V",
  "functional": "PBE",
  "state": "optimized geometry",
  "cell": [[-5.590, -0.429, -0.554], [-0.484, -5.271, 1.930], [-1.326, 1.327, 5.312]],
  "species": ["Er", "Be", "Be", "Be", "Be", "Be", "Be", "Be", "Be", "Be", "Be", "Be", "Be", "Be", "Be", "Be", "Be", "Be", "V"],
  "frac_coords": [[0.661, 0.661, 0.661], [0.287, 0.005, 0.707], [0.707, 0.287, 0.005], [0.005, 0.707, 0.287], [0.287, 0.707, 0.005], [0.005, 0.287, 0.707], [0.707, 0.005, 0.287], [0.340, 0.849, 0.340], [0.340, 0.340, 0.849], [0.849, 0.340, 0.340], [0.652, 0.163, 0.652], [0.652, 0.652, 0.163], [0.163, 0.652, 0.652], [0.002, 0.499, 0.002], [0.002, 0.002, 0.499], [0.499, 0.002, 0.002], [0.908, 0.908, 0.908], [0.102, 0.102, 0.102], [0.332, 0.332, 0.332]],
  "formation_energy_ev_per_fu": -2.22
}



(4)
{
  "formula": "AlSeCl2",
  "functional": "PBE",
  "state": "optimized geometry",
  "cell": [[3.908, 9.030, 7.076], [5.539, 9.873, 4.329], [2.421, 10.875, 4.772]],
  "species": ["Al", "Se", "Cl", "Cl"],
  "frac_coords": [[0.000, 0.000, 0.000], [0.500, 0.500, 0.500], [0.942, 0.942, 0.942], [0.058, 0.058, 0.058]],
  "raw_formation_energy_ev_per_fu": -0.18,
  "e_above_lowest_polymorph_mev_per_atom": 864
}



(5)
{
  "formula": "CsBe2N",
  "functional": "PBE",
  "state": "optimized geometry",
  "cell": [[0.000, 3.113, 3.113], [3.113, 0.000, 3.113], [3.113, 3.113, 0.000]],
  "species": ["Cs", "Be", "Be", "N"],
  "frac_coords": [[0.500, 0.500, 0.500], [0.250, 0.250, 0.250], [0.750, 0.750, 0.750], [0.000, 0.000, 0.000]],
  "raw_formation_energy_ev_per_fu": 8.81
}



(6)
{
  "formula": "RbTlN",
  "functional": "PBE",
  "state": "optimized geometry",
  "cell": [[-2.489, 3.355, 1.552], [-2.378, -0.019, -3.770], [-1.710, -8.334, 8.912]],
  "species": ["N", "N", "Rb", "Rb", "Tl", "Tl"],
  "frac_coords": [[0.167, 0.504, 0.331], [0.833, 0.496, 0.669], [0.690, 0.072, 0.379], [0.310, 0.928, 0.621], [0.931, 0.791, 0.863], [0.069, 0.209, 0.137]],
  "raw_formation_energy_ev_per_fu": 1.86,
  "e_above_lowest_polymorph_mev_per_atom": 686
}



(7)
{
  "formula": "LaTlH3",
  "functional": "PBE",
  "state": "optimized geometry",
  "cell": [[4.139, 0.000, 0.000], [0.000, 4.139, 0.000], [0.000, 0.000, 4.139]],
  "species": ["H", "H", "H", "Tl", "La"],
  "frac_coords": [[0.000, 0.500, 0.000], [0.000, 0.000, 0.500], [0.500, 0.000, 0.000], [0.000, 0.000, 0.000], [0.500, 0.500, 0.500]],
  "e_above_lowest_polymorph_mev_per_atom": 366
}



(8)
{
  "formula": "Ce4GeBi",
  "functional": "PBE",
  "state": "optimized geometry",
  "cell": [[-3.072, -0.521, -0.742], [1.397, -3.738, -3.167], [-0.627, -6.014, 6.820]],
  "species": ["Ce", "Ce", "Ce", "Ce", "Ge", "Bi"],
  "frac_coords": [[0.499, 0.997, 0.155], [0.499, 0.997, 0.841], [0.499, 0.497, 0.689], [0.499, 0.497, 0.307], [0.999, 0.497, 0.998], [0.999, 0.997, 0.498]],
  "e_above_lowest_polymorph_mev_per_atom": 216,
  "formation_energy_ev_per_fu": -1.57
}



Number 1: calculated total energy -7.18 eV/atom, calculated volume 122 Å³ per cell, magnetic moment 0.0 μB/f.u.. Number 2: calculated total energy -5.34 eV/atom, calculated volume 460 Å³ per cell, magnetic moment 0.0 μB/f.u.. Number 3: calculated total energy -4.17 eV/atom, calculated volume 175 Å³ per cell, magnetic moment 0.0 μB/f.u.. Number 4: calculated total energy -2.77 eV/atom, calculated volume 113 Å³ per cell, magnetic moment 0.0 μB/f.u.. Number 5: calculated total energy -1.96 eV/atom, calculated volume 60 Å³ per cell, magnetic moment 0.0 μB/f.u.. Number 6: calculated total energy -3.27 eV/atom, calculated volume 202 Å³ per cell, magnetic moment 0.0 μB/f.u.. Number 7: calculated total energy -3.24 eV/atom, calculated volume 71 Å³ per cell, magnetic moment 0.0 μB/f.u.. Number 8: calculated total energy -5.63 eV/atom, calculated volume 149 Å³ per cell, magnetic moment 2.6 μB/f.u..